(1)
Crystalline Co4SbAu at its relaxed geometry. Source: Alexandria, functional PBE-GGA.

a = 6.966 Å, b = 6.966 Å, c = 6.966 Å
α = 90.00°, β = 90.00°, γ = 90.00°
Space group F-43m (No. 216)
Unique sites:
Co (0.125, 0.125, 0.125) [16 per cell]
Sb (0.250, 0.250, 0.750) [4 per cell]
Au (0.000, 0.000, 0.500) [4 per cell]

Summary:
* DFT total energy: -5.705 eV per atom
* D(E_F): 35.17 states/eV/cell

(2)
Crystalline BaHg2Bi2 at its relaxed geometry. Source: Alexandria, functional PBE-GGA.

a = 9.002 Å, b = 9.002 Å, c = 3.911 Å
α = 90.00°, β = 90.00°, γ = 90.00°
Space group P4/mbm (No. 127)
Unique sites:
Ba (0.000, 0.000, 0.000) [2 per cell]
Hg (0.117, 0.383, 0.000) [4 per cell]
Bi (0.184, 0.684, 0.500) [4 per cell]

Summary:
* polymorph energy (0 for the lowest one): 0.1063 eV per atom
* DFT formation energy: -309 meV/atom
* DFT total energy: -2.367 eV per atom
* D(E_F): 2.86 states/eV/cell

(3)
Crystalline AcFePt at its relaxed geometry. Source: Alexandria, functional PBE-GGA.

a = 4.1056 Å, b = 4.1056 Å, c = 10.0286 Å
α = 90.00°, β = 90.00°, γ = 120.00°
Space group P-6m2 (No. 187)
Unique sites:
Ac (0.0000, 0.0000, 0.1984) [2 per cell]
Fe (0.6667, 0.3333, 0.3932) [2 per cell]
Pt (0.3333, 0.6667, 0.0000) [1 per cell]
Pt (0.3333, 0.6667, 0.5000) [1 per cell]

Summary:
* DFT formation energy: -132 meV/atom
* DFT total energy: -6.336 eV per atom
* D(E_F): 6.02 states/eV/cell

(4)
Crystalline Ga2Bi3O8 at its relaxed geometry. Source: Alexandria, functional PBE-GGA.

a = 5.8605 Å, b = 5.8605 Å, c = 18.5393 Å
α = 90.00°, β = 90.00°, γ = 120.00°
Space group R-3m (No. 166, hexagonal axes)
Unique sites:
Ga (0.0000, 0.0000, 0.0938) [6 per cell]
Bi (0.0000, 0.0000, 0.3061) [6 per cell]
Bi (0.0000, 0.0000, 0.5000) [3 per cell]
O (0.0000, 0.0000, 0.1910) [6 per cell]
O (0.0199, 0.5100, 0.2671) [18 per cell]

Summary:
* DFT total energy: -5.585 eV per atom
* D(E_F): 16.16 states/eV/cell

(5)
Crystalline KCl7 at its relaxed geometry. Source: Alexandria, functional PBE-GGA.

a = 9.314 Å, b = 9.314 Å, c = 9.314 Å
α = 90.00°, β = 90.00°, γ = 90.00°
Space group Fm-3m (No. 225)
Unique sites:
K (0.000, 0.000, 0.000) [4 per cell]
Cl (0.000, 0.000, 0.500) [4 per cell]
Cl (0.000, 0.250, 0.250) [24 per cell]

Summary:
* DFT total energy: -1.581 eV per atom
* D(E_F): 28.28 states/eV/cell

(6)
Crystalline SrTcO3 at its relaxed geometry. Source: Alexandria, functional PBE-GGA.

a = 5.627 Å, b = 7.956 Å, c = 5.682 Å
α = 90.00°, β = 90.00°, γ = 90.00°
Space group Imma (No. 74)
Unique sites:
Sr (0.000, 0.250, 0.004) [4 per cell]
Tc (0.000, 0.000, 0.500) [4 per cell]
O (0.000, 0.250, 0.558) [4 per cell]
O (0.250, 0.031, 0.250) [8 per cell]

Summary:
* DFT total energy: -7.470 eV per atom

(7)
Crystalline Mn2CoAs at its relaxed geometry. Source: Alexandria, functional PBE-GGA.

a = 2.6653 Å, b = 2.6653 Å, c = 23.1998 Å
α = 90.00°, β = 90.00°, γ = 120.00°
Space group R-3m (No. 166, hexagonal axes)
Unique sites:
Mn (0.0000, 0.0000, 0.2500) [6 per cell]
Co (0.0000, 0.0000, 0.0000) [3 per cell]
As (0.0000, 0.0000, 0.5000) [3 per cell]

Summary:
* DFT formation energy: 316 meV/atom
* DFT total energy: -7.207 eV per atom
* D(E_F): 12.35 states/eV/cell

(8)
Crystalline NbGaOs at its relaxed geometry. Source: Alexandria, functional PBE-GGA.

a = 12.857 Å, b = 3.050 Å, c = 7.183 Å
α = 90.00°, β = 90.00°, γ = 90.00°
Space group Pmma (No. 51)
Unique sites:
Nb (0.054, 0.000, 0.243) [4 per cell]
Nb (0.250, 0.000, 0.688) [2 per cell]
Ga (0.092, 0.500, 0.563) [4 per cell]
Ga (0.250, 0.000, 0.063) [2 per cell]
Os (0.103, 0.500, 0.930) [4 per cell]
Os (0.250, 0.500, 0.349) [2 per cell]

Summary:
* DFT formation energy: -203 meV/atom
* DFT total energy: -8.312 eV per atom
* D(E_F): 10.91 states/eV/cell

(9)
Crystalline Ac4ZnNi3 at its relaxed geometry. Source: Alexandria, functional PBE-GGA.

a = 4.118 Å, b = 4.546 Å, c = 11.549 Å
α = 90.00°, β = 90.00°, γ = 90.00°
Space group Pmm2 (No. 25)
Unique sites:
Ac (0.000, 0.000, 0.000) [1 per cell]
Ac (0.000, 0.500, 0.258) [1 per cell]
Ac (0.500, 0.000, 0.480) [1 per cell]
Ac (0.500, 0.500, 0.768) [1 per cell]
Zn (0.000, 0.000, 0.688) [1 per cell]
Ni (0.000, 0.500, 0.570) [1 per cell]
Ni (0.500, 0.000, 0.196) [1 per cell]
Ni (0.500, 0.500, 0.067) [1 per cell]

Summary:
* DFT formation energy: -238 meV/atom
* DFT total energy: -4.620 eV per atom
* D(E_F): 6.46 states/eV/cell

(10)
Crystalline BaMoPb at its relaxed geometry. Source: Alexandria, functional PBE-GGA.

a = 4.9331 Å, b = 4.9331 Å, c = 4.8757 Å
α = 90.00°, β = 90.00°, γ = 120.00°
Space group P-6m2 (No. 187)
Unique sites:
Ba (0.0000, 0.0000, 0.0000) [1 per cell]
Mo (0.6667, 0.3333, 0.5000) [1 per cell]
Pb (0.3333, 0.6667, 0.5000) [1 per cell]

Summary:
* polymorph energy (0 for the lowest one): 0.0127 eV per atom
* DFT formation energy: 613 meV/atom
* DFT total energy: -4.874 eV per atom
* D(E_F): 2.17 states/eV/cell

Repeat the eighth record exactly.
Crystalline NbGaOs at its relaxed geometry. Source: Alexandria, functional PBE-GGA.

a = 12.857 Å, b = 3.050 Å, c = 7.183 Å
α = 90.00°, β = 90.00°, γ = 90.00°
Space group Pmma (No. 51)
Unique sites:
Nb (0.054, 0.000, 0.243) [4 per cell]
Nb (0.250, 0.000, 0.688) [2 per cell]
Ga (0.092, 0.500, 0.563) [4 per cell]
Ga (0.250, 0.000, 0.063) [2 per cell]
Os (0.103, 0.500, 0.930) [4 per cell]
Os (0.250, 0.500, 0.349) [2 per cell]

Summary:
* DFT formation energy: -203 meV/atom
* DFT total energy: -8.312 eV per atom
* D(E_F): 10.91 states/eV/cell

DFT total energy of number 2 (BaHg2Bi2)?
-2.367 eV per atom

What is the DFT total energy in the fourth record?
-5.585 eV per atom

Which formula does entry 5 have?
KCl7